1.
! PBE Rb4Sb2O5, optimized geometry; values from VASP
! * formation energy without anion corrections: -32.8 kcal/mol of atoms
! * E: -4.777 eV per atom
! * SG: Amm2
&SYSTEM
  ibrav = 0, nat = 11, ntyp = 3
/
ATOMIC_SPECIES
Sb 121.76 Sb.upf
Rb 85.47 Rb.upf
O 16.00 O.upf
CELL_PARAMETERS angstrom
10.1099 -0.0061 0.0000
-9.3099 3.9413 0.0000
0.0000 0.0000 6.7104
ATOMIC_POSITIONS crystal
Sb 0.5898 0.4102 0.5000
Sb 0.4113 0.5887 0.0000
Rb 0.0926 0.9074 0.0000
Rb 0.9084 0.0916 0.5000
Rb 0.2373 0.7627 0.5000
Rb 0.7603 0.2397 0.0000
O 0.6526 0.3474 0.7226
O 0.6526 0.3474 0.2774
O 0.3483 0.6517 0.7782
O 0.3483 0.6517 0.2218
O 0.0548 0.9452 0.5000

2.
! PBE RbSb2O4, optimized geometry; values from VASP
! * formation energy without anion corrections: -25.8 kcal/mol of atoms
! * E: -5.267 eV per atom
! * SG: I4_1/a
! * DOS(E_F): 0.56 states/eV per atom
&SYSTEM
  ibrav = 0, nat = 14, ntyp = 3
/
ATOMIC_SPECIES
Sb 121.76 Sb.upf
O 16.00 O.upf
Rb 85.47 Rb.upf
CELL_PARAMETERS angstrom
6.7938 0.0000 0.0000
0.0000 6.7938 0.0000
-3.3969 -3.3969 5.6106
ATOMIC_POSITIONS crystal
Sb 0.1250 0.8750 0.7500
Sb 0.6250 0.8750 0.7500
Sb 0.1250 0.8750 0.2500
Sb 0.1250 0.3750 0.2500
O 0.1671 0.2191 0.9625
O 0.9934 0.9171 0.4625
O 0.0829 0.5309 0.5375
O 0.4546 0.0066 0.5375
O 0.7954 0.7434 0.9625
O 0.7809 0.2046 0.0375
O 0.4691 0.5454 0.4625
O 0.2566 0.8329 0.0375
Rb 0.5000 0.5000 0.0000
Rb 0.7500 0.2500 0.5000